Entry 1:
Ca2ScTcOs | GGA-PBEsol | optimized geometry

Calculated values
Final energy   -5.756 eV per atom
Formation enthalpy at 0 K   1.12 eV per atom
D(E_F)   1.15 states/eV/atom

Unit cell a=4.860 b=5.341 c=5.341 alpha=90.00 beta=90.00 gamma=90.00
Last column: magnetic moment on the atom in μB.
Element x y z (fractional)
Sc: 0.500 0.000 0.000  -0.09
Ca: 0.000 0.000 0.500  -0.02
Ca: 0.000 0.500 0.000  -0.02
Os: 0.000 0.000 0.000  0.14
Tc: 0.500 0.500 0.500  3.14

Entry 2:
CaOsSe3 | GGA-PBEsol | optimized geometry

Calculated values
Final energy   -5.325 eV per atom
Raw formation energy   -0.145 eV/atom
D(E_F)   1.24 states/eV/atom

Unit cell a=4.914 b=4.914 c=4.914 alpha=90.00 beta=90.00 gamma=90.00
Last column: magnetic moment on the atom in μB.
Element x y z (fractional)
Ca: 0.500 0.500 0.500  0.03
Os: 0.000 0.000 0.000  1.01
Se: 0.000 0.500 0.000  0.12
Se: 0.000 0.000 0.500  0.12
Se: 0.500 0.000 0.000  0.12

Entry 3:
Ca2OsSe | GGA-PBEsol | optimized geometry

Calculated values
Final energy   -5.013 eV per atom
Raw formation energy   0.071 eV/atom
D(E_F)   0.94 states/eV/atom

Unit cell a=4.090 b=4.090 c=5.939 alpha=90.00 beta=90.00 gamma=90.00
Last column: magnetic moment on the atom in μB.
Element x y z (fractional)
Ca: 0.000 0.000 0.906  -0.01
Ca: 0.500 0.500 0.344  -0.02
Os: 0.000 0.000 0.406  1.74
Se: 0.500 0.500 0.844  0.07

Which value of final energy does entry 1 give? -5.756 eV per atom

final energy of number 3 (Ca2OsSe)? -5.013 eV per atom

final energy of number 1 (Ca2ScTcOs)? -5.756 eV per atom